No. 1
YOsPtI2 | GGA-PBE | optimized geometry

## Properties
Its space group is P4/mmm. The formation energy (no corrections) is 5.8 eV/f.u.

abc: 5.929 5.929 5.287
angles: 90.00 90.00 90.00
Element x y z (fractional)
Y: 0.000 0.000 0.000
Os: 0.500 0.500 0.500
Pt: 0.000 0.000 0.500
I: 0.000 0.500 0.000
I: 0.500 0.000 0.000

=====

No. 2
KTl2I2 | GGA-PBE | optimized geometry

## Properties
As for the energy above the lowest structure with this stoichiometry: 0.129 eV/atom. Its space group is P4/mbm. The formation energy (no corrections) is -3.0 eV/f.u.

abc: 9.081 9.081 5.177
angles: 90.00 90.00 90.00
Element x y z (fractional)
K: 0.000 0.000 0.000
K: 0.500 0.500 0.000
Tl: 0.152 0.348 0.500
Tl: 0.348 0.848 0.500
Tl: 0.652 0.152 0.500
Tl: 0.848 0.652 0.500
I: 0.160 0.660 0.000
I: 0.340 0.160 0.000
I: 0.660 0.840 0.000
I: 0.840 0.340 0.000

=====

No. 3
MnAlFe | GGA-PBE | optimized geometry

## Properties
Its space group is C2/m. The formation enthalpy at 0 K comes out at -0.142 eV/atom.

abc: 4.800 4.800 8.677
angles: 105.51 105.51 50.06
Element x y z (fractional)
Mn: 0.109 0.109 0.449
Mn: 0.143 0.143 0.807
Mn: 0.857 0.857 0.193
Mn: 0.891 0.891 0.551
Al: 0.126 0.126 0.125
Al: 0.375 0.375 0.375
Al: 0.625 0.625 0.625
Al: 0.874 0.874 0.875
Fe: 0.363 0.363 0.691
Fe: 0.392 0.392 0.058
Fe: 0.608 0.608 0.942
Fe: 0.637 0.637 0.309

=====

No. 4
SrFe2Ag | GGA-PBE | optimized geometry

## Properties
Its space group is Pmmm. The formation enthalpy at 0 K comes out at 0.740 eV/atom.

abc: 4.138 4.191 4.439
angles: 90.00 90.00 90.00
Element x y z (fractional)
Sr: 0.000 0.000 0.000
Fe: 0.000 0.500 0.500
Fe: 0.500 0.000 0.500
Ag: 0.500 0.500 0.000

=====

No. 5
NaRh4Pb | GGA-PBE | optimized geometry

## Properties
Its space group is F-43m. The formation enthalpy at 0 K comes out at 0.132 eV/atom.

abc: 5.286 5.286 5.286
angles: 60.00 60.00 60.00
Element x y z (fractional)
Na: 0.000 0.000 0.000
Rh: 0.125 0.625 0.625
Rh: 0.625 0.125 0.625
Rh: 0.625 0.625 0.125
Rh: 0.625 0.625 0.625
Pb: 0.250 0.250 0.250

=====

No. 6
Pr3GeO6 | GGA-PBE | optimized geometry

## Properties
Its space group is Cmc2_1. The formation energy (no corrections) is -28.2 eV/f.u.

abc: 7.479 7.479 5.740
angles: 90.00 90.00 102.49
Element x y z (fractional)
Pr: 0.102 0.898 0.500
Pr: 0.200 0.413 0.549
Pr: 0.413 0.200 0.049
Pr: 0.587 0.800 0.549
Pr: 0.800 0.587 0.049
Pr: 0.898 0.102 0.000
Ge: 0.326 0.674 0.067
Ge: 0.674 0.326 0.567
O: 0.102 0.604 0.223
O: 0.148 0.172 0.274
O: 0.172 0.148 0.774
O: 0.273 0.727 0.739
O: 0.396 0.898 0.223
O: 0.471 0.529 0.279
O: 0.529 0.471 0.779
O: 0.604 0.102 0.723
O: 0.727 0.273 0.239
O: 0.828 0.852 0.274
O: 0.852 0.828 0.774
O: 0.898 0.396 0.723

=====

Number 1: calculated volume 37.16 A^3/atom, DOS(E_F) 1.36 states/eV per atom. Number 2: calculated volume 42.69 A^3/atom, DOS(E_F) 0.65 states/eV per atom. Number 3: calculated volume 12.21 A^3/atom, DOS(E_F) 0.95 states/eV per atom. Number 4: calculated volume 19.24 A^3/atom, DOS(E_F) 1.45 states/eV per atom. Number 5: calculated volume 17.41 A^3/atom, DOS(E_F) 1.69 states/eV per atom. Number 6: calculated volume 15.67 A^3/atom, DOS(E_F) 0.17 states/eV per atom.